No. 1
## MgFe2Co (PBE)

Data for MgFe2Co after structural relaxation.

Cell lengths 4.9496, 4.9496, 4.1954 Å; angles 64.67, 64.67, 33.86 degrees
Closest atoms and distances in Å follow each position.
Atoms (fractional coordinates):
Co (0.2500, 0.2500, 0.2500)  4 Fe 2.43, 4 Mg 2.55
Fe (0.9815, 0.9815, 0.0185)  2 Co 2.43, 4 Fe 2.56-2.57, 2 Mg 2.69
Fe (0.5185, 0.5185, 0.4815)  2 Co 2.43, 4 Fe 2.56-2.57, 2 Mg 2.69
Mg (0.7500, 0.7500, 0.7500)  4 Co 2.55, 4 Fe 2.69

Summary:
Spin magnetization in μB per formula unit: 6.11
Formation energy from the elements in eV per formula unit: 0.5

---

No. 2
## ZrCdMo2 (PBE)

Data for ZrCdMo2 after structural relaxation.

Cell lengths 2.7905, 2.7905, 9.4752 Å; angles 90.00, 90.00, 90.00 degrees
Closest atoms and distances in Å follow each position.
Atoms (fractional coordinates):
Cd (0.5000, 0.5000, 0.7500)  4 Cd 2.79, 8 Mo 3.05
Mo (0.0000, 0.0000, 0.9948)  4 Mo 2.79, 4 Cd 3.05, 4 Zr 3.12
Mo (0.0000, 0.0000, 0.5052)  4 Mo 2.79, 4 Cd 3.05, 4 Zr 3.12
Zr (0.5000, 0.5000, 0.2500)  4 Zr 2.79, 8 Mo 3.12

Summary:
Spin magnetization in μB per formula unit: 0.00
Formation energy from the elements in eV per formula unit: 1.4

---

No. 3
## AgP3Ir (PBE)

Data for AgP3Ir after structural relaxation.

Cell lengths 4.6570, 4.6570, 4.6570 Å; angles 90.00, 90.00, 90.00 degrees
Closest atoms and distances in Å follow each position.
Atoms (fractional coordinates):
P (0.0000, 0.5000, 0.0000)  2 Ir 2.33
P (0.0000, 0.0000, 0.5000)  2 Ir 2.33
P (0.5000, 0.0000, 0.0000)  2 Ir 2.33
Ir (0.0000, 0.0000, 0.0000)  6 P 2.33
Ag (0.5000, 0.5000, 0.5000)  12 P 3.29

Summary:
Spin magnetization in μB per formula unit: 0.00
Formation energy from the elements in eV per formula unit: 4.0

---

No. 4
## La2NdTmBi5 (PBE)

Data for La2NdTmBi5 after structural relaxation.

Cell lengths 5.4009, 5.4009, 12.1091 Å; angles 90.00, 90.00, 90.00 degrees
Closest atoms and distances in Å follow each position.
Atoms (fractional coordinates):
La (0.5000, 0.5000, 0.2772)  1 Bi 3.36
La (0.5000, 0.5000, 0.7228)  1 Bi 3.36
Nd (0.0000, 0.0000, 0.0000)  2 Bi 3.03
Tm (0.0000, 0.0000, 0.5000)  6 Bi 2.70-3.02
Bi (0.0000, 0.5000, 0.5000)  2 Tm 2.70
Bi (0.5000, 0.0000, 0.5000)  2 Tm 2.70
Bi (0.0000, 0.0000, 0.7495)  1 Tm 3.02, 1 Nd 3.03
Bi (0.0000, 0.0000, 0.2505)  1 Tm 3.02, 1 Nd 3.03
Bi (0.5000, 0.5000, 0.0000)  2 La 3.36

Summary:
Spin magnetization in μB per formula unit: 0.00
Formation energy from the elements in eV per formula unit: -2.8

---

No. 5
## MnAgB2 (PBE)

Data for MnAgB2 after structural relaxation.

Cell lengths 3.8215, 3.8215, 3.8215 Å; angles 60.00, 60.00, 60.00 degrees
Closest atoms and distances in Å follow each position.
Atoms (fractional coordinates):
B (0.2500, 0.2500, 0.2500)  4 Ag 2.34, 4 Mn 2.34
B (0.7500, 0.7500, 0.7500)  4 Mn 2.34, 4 Ag 2.34
Mn (0.0000, 0.0000, 0.0000)  8 B 2.34
Ag (0.5000, 0.5000, 0.5000)  8 B 2.34

Summary:
Spin magnetization in μB per formula unit: 0.00
Formation energy from the elements in eV per formula unit: 3.8

---

Please write out number 1 again, unchanged.
## MgFe2Co (PBE)

Data for MgFe2Co after structural relaxation.

Cell lengths 4.9496, 4.9496, 4.1954 Å; angles 64.67, 64.67, 33.86 degrees
Closest atoms and distances in Å follow each position.
Atoms (fractional coordinates):
Co (0.2500, 0.2500, 0.2500)  4 Fe 2.43, 4 Mg 2.55
Fe (0.9815, 0.9815, 0.0185)  2 Co 2.43, 4 Fe 2.56-2.57, 2 Mg 2.69
Fe (0.5185, 0.5185, 0.4815)  2 Co 2.43, 4 Fe 2.56-2.57, 2 Mg 2.69
Mg (0.7500, 0.7500, 0.7500)  4 Co 2.55, 4 Fe 2.69

Summary:
Spin magnetization in μB per formula unit: 6.11
Formation energy from the elements in eV per formula unit: 0.5